NaLi2CoF6 | PBE+U | relaxed

CIF file:
```
data_NaLi2CoF6
_cell_length_a 5.1630
_cell_length_b 5.1630
_cell_length_c 14.2278
_cell_angle_alpha 90.00
_cell_angle_beta 90.00
_cell_angle_gamma 120.00
_symmetry_space_group_name_H-M 'R 3'
_symmetry_Int_Tables_number 146
_symmetry_space_group_name_Hall 'R 3'
loop_
_atom_site_label
_atom_site_fract_x
_atom_site_fract_y
_atom_site_fract_z
_atom_site_occupancy
Na1 0.0000 0.0000 0.0000 1
Li1 0.0000 0.0000 0.2803 1
Li2 0.0000 0.0000 0.7971 1
Co1 0.0000 0.0000 0.4852 1
F1 0.0037 0.3099 0.5566 1
F2 0.0271 0.7293 0.4051 1
```

Values from the calculation:
For the energy above the lowest structure with this stoichiometry, the calculation gives 0.0000 eV/atom. The total energy comes out at -139.03 eV/cell.